First-principles (PBE) data for a relaxed structure of Li2LaScHg4, as listed in Alexandria.

a b c (Å): 4.916 4.916 9.132
angles (deg): 74.38 74.38 60.00
Sites, in units of the cell vectors:
La  0.000  0.000  0.000
Hg  0.611  0.611  0.166
Hg  0.128  0.128  0.615
Hg  0.389  0.389  0.834
Hg  0.872  0.872  0.385
Sc  0.500  0.500  0.500
Li  0.759  0.759  0.723
Li  0.241  0.241  0.277

Properties
- total magnetic moment (μB/f.u.) = 0.00
- energy of formation from the pure elements (kJ per mole of atoms) = -40.3

---

First-principles (PBE) data for a relaxed structure of TiGeSb3, as listed in Alexandria.

a b c (Å): 5.254 5.254 5.254
angles (deg): 90.00 90.00 90.00
Sites, in units of the cell vectors:
Sb  0.000  0.500  0.000
Sb  0.500  0.000  0.000
Sb  0.000  0.000  0.500
Ti  0.000  0.000  0.000
Ge  0.500  0.500  0.500

Properties
- ΔE to the lowest computed polymorph (meV/atom) = 0
- ΔE_f (raw) (eV/f.u.) = 1.90
- total magnetic moment (μB/f.u.) = 0.00

---

First-principles (PBE) data for a relaxed structure of TbGd2Cd, as listed in Alexandria.

a b c (Å): 5.481 5.481 5.481
angles (deg): 60.00 60.00 60.00
Each line ends with the local moment (μB).
Sites, in units of the cell vectors:
Tb  0.000  0.000  0.000  0.20
Cd  0.500  0.500  0.500  -0.01
Gd  0.750  0.750  0.750  7.19
Gd  0.250  0.250  0.250  7.19

Properties
- ΔE to the lowest computed polymorph (meV/atom) = 110
- total magnetic moment (μB/f.u.) = 15.12
- energy of formation from the pure elements (kJ per mole of atoms) = -3.6

---

First-principles (PBE) data for a relaxed structure of CuIrPbO6, as listed in Alexandria.

a b c (Å): 5.450 5.450 8.492
angles (deg): 90.00 90.00 120.00
Each line ends with the local moment (μB).
Sites, in units of the cell vectors:
O  0.042  0.673  0.878  0.01
O  0.327  0.369  0.878  0.01
O  0.042  0.369  0.622  0.01
O  0.673  0.631  0.122  0.01
O  0.631  0.958  0.878  0.01
O  0.631  0.673  0.622  0.01
O  0.958  0.631  0.378  0.01
O  0.673  0.042  0.378  0.01
O  0.369  0.327  0.378  0.01
O  0.958  0.327  0.122  0.01
O  0.327  0.958  0.622  0.01
O  0.369  0.042  0.122  0.01
Cu  0.000  0.000  0.000  0.16
Cu  0.000  0.000  0.500  0.16
Ir  0.333  0.667  0.750  -0.04
Ir  0.667  0.333  0.250  -0.04
Pb  0.333  0.667  0.250  0.00
Pb  0.667  0.333  0.750  0.00

Properties
- ΔE_f (raw) (eV/f.u.) = -4.87
- total magnetic moment (μB/f.u.) = 0.18

---

What is the total magnetic moment in the fourth record? 0.18 μB/f.u.

---

Which of these has the highest total magnetic moment? TbGd2Cd